! GGA-PBE Zn2FeTc, optimized geometry; values from VASP
&SYSTEM
  ibrav = 0, nat = 8, ntyp = 3
/
ATOMIC_SPECIES
Zn 65.41 Zn.upf
Fe 55.84 Fe.upf
Tc 98.00 Tc.upf
CELL_PARAMETERS angstrom
8.8745 0.0000 0.0000
0.0000 2.5838 0.0000
-0.6803 0.0000 4.7406
ATOMIC_POSITIONS crystal
Zn 0.0000 0.0000 0.0000
Zn 0.2469 0.0000 0.7649
Zn 0.5000 0.5000 0.0000
Zn 0.7469 0.5000 0.7649
Fe 0.2455 0.5000 0.2710
Fe 0.7455 0.0000 0.2710
Tc 0.4950 0.0000 0.4918
Tc 0.9950 0.5000 0.4918
! ΔE_f = 105.7 meV per atom
! DOS(E_F) = 5.0 states/eV/cell
! VASP energy = -41.91 eV per cell
! space-group type = Cm, No. 8
! magnetic moment = 2.4 μB/f.u.
! polymorph energy (0 for the lowest one) = 0.099 eV/atom